DFT (GGA-PBE) results for crystalline In4H3I4 at its relaxed geometry.

Its total energy is -2.456 eV/atom. As for the total moment: 0.0 μB/f.u. As for the density: 4781 kg/m³.

It has space group Pm (No. 6), with a = 5.018 Å, b = 13.330 Å, c = 5.059 Å, α = 90.00°, β = 95.41° and γ = 90.00°. The distinct sites, in fractional coordinates, are In at (0.000, 0.000, 0.000), In at (0.209, 0.500, 0.799), In at (0.603, 0.255, 0.405), H at (0.255, 0.000, 0.752), H at (0.349, 0.277, 0.650), I at (0.030, 0.253, 0.974), I at (0.564, 0.000, 0.438) and I at (0.673, 0.500, 0.336).